No. 1
Compound: FeAuC
Source: Alexandria
Functional: GGA-PBE
Structure: relaxed

Calculated values
**Space-group type**: I4mm (107)
**Formation energy from the elements**: 628 meV per atom
**Magnetization**: 0.00 μB/f.u.
**Energy above the lowest structure with this stoichiometry**: 38.3 meV per atom
**Volume**: 12.470 A^3/atom
**Crystal system**: tetragonal

a b c (Å): 2.6689 2.6689 10.5043
angles (deg): 90.00 90.00 90.00
Sites, in units of the cell vectors:
Fe 0.0000 0.0000 0.0000
Fe 0.5000 0.5000 0.5000
Au 0.0000 0.0000 0.7502
Au 0.5000 0.5000 0.2502
C 0.0000 0.0000 0.5406
C 0.5000 0.5000 0.0406

=====

No. 2
Compound: Ho4Ga3Hg
Source: Alexandria
Functional: GGA-PBE
Structure: relaxed

Calculated values
**Space-group type**: Pmm2 (25)
**Formation energy from the elements**: -557 meV per atom
**Magnetization**: 0.00 μB/f.u.
**Volume**: 24.450 A^3/atom
**Crystal system**: orthorhombic

a b c (Å): 4.1887 4.2361 11.0233
angles (deg): 90.00 90.00 90.00
Sites, in units of the cell vectors:
Ho 0.0000 0.0000 0.0000
Ho 0.0000 0.5000 0.4885
Ho 0.5000 0.0000 0.7095
Ho 0.5000 0.5000 0.2159
Ga 0.0000 0.0000 0.2796
Ga 0.5000 0.0000 0.4284
Ga 0.5000 0.5000 0.9433
Hg 0.0000 0.5000 0.7716

=====

No. 3
Compound: ReIrW2
Source: Alexandria
Functional: GGA-PBE
Structure: relaxed

Calculated values
**Space-group type**: Cmmm (65)
**Formation energy from the elements**: -42 meV per atom
**Magnetization**: 0.00 μB/f.u.
**Volume**: 15.433 A^3/atom
**Crystal system**: orthorhombic

a b c (Å): 5.6295 7.8681 2.7873
angles (deg): 90.00 90.00 90.00
Sites, in units of the cell vectors:
Re 0.0000 0.0000 0.0000
Re 0.5000 0.5000 0.0000
Ir 0.0000 0.5000 0.0000
Ir 0.5000 0.0000 0.0000
W 0.2500 0.2500 0.5000
W 0.2500 0.7500 0.5000
W 0.7500 0.2500 0.5000
W 0.7500 0.7500 0.5000

=====

No. 4
Compound: Ac3InCu2Pd9
Source: Alexandria
Functional: GGA-PBE
Structure: relaxed

Calculated values
**Space-group type**: P-3m1 (164)
**Formation energy from the elements**: -478 meV per atom
**Magnetization**: 0.00 μB/f.u.
**Volume**: 23.284 A^3/atom
**Crystal system**: trigonal

a b c (Å): 5.8504 5.8504 11.7828
angles (deg): 90.00 90.00 120.00
Sites, in units of the cell vectors:
Ac 0.0000 0.0000 0.0000
Ac 0.3333 0.6667 0.7533
Ac 0.6667 0.3333 0.2467
In 0.0000 0.0000 0.5000
Cu 0.3333 0.6667 0.1609
Cu 0.6667 0.3333 0.8391
Pd 0.0000 0.5000 0.0000
Pd 0.1645 0.3291 0.3182
Pd 0.1645 0.8355 0.3182
Pd 0.3291 0.1645 0.6818
Pd 0.5000 0.0000 0.0000
Pd 0.5000 0.5000 0.0000
Pd 0.6709 0.8355 0.3182
Pd 0.8355 0.1645 0.6818
Pd 0.8355 0.6709 0.6818

=====

No. 5
Compound: NpCuRh4
Source: Alexandria
Functional: GGA-PBE
Structure: relaxed

Calculated values
**Space-group type**: C2/m (12)
**Formation energy from the elements**: -170 meV per atom
**Magnetization**: 0.85 μB/f.u.
**Energy above the lowest structure with this stoichiometry**: 0.0 meV per atom
**Volume**: 15.390 A^3/atom
**Crystal system**: monoclinic

a b c (Å): 9.1372 3.7171 5.7712
angles (deg): 90.00 109.58 90.00
Sites, in units of the cell vectors:
Np 0.0000 0.0000 0.0000
Np 0.5000 0.5000 0.0000
Cu 0.0000 0.0000 0.5000
Cu 0.5000 0.5000 0.5000
Rh 0.1602 0.5000 0.8195
Rh 0.1618 0.5000 0.3360
Rh 0.3382 0.0000 0.6640
Rh 0.3398 0.0000 0.1805
Rh 0.6602 0.0000 0.8195
Rh 0.6618 0.0000 0.3360
Rh 0.8382 0.5000 0.6640
Rh 0.8398 0.5000 0.1805

=====

No. 6
Compound: CoOs3
Source: Alexandria
Functional: GGA-PBE
Structure: relaxed

Calculated values
**Space-group type**: Pm-3m (221)
**Formation energy from the elements**: 174 meV per atom
**Magnetization**: 0.00 μB/f.u.
**Volume**: 13.451 A^3/atom
**Crystal system**: cubic

a b c (Å): 3.7752 3.7752 3.7752
angles (deg): 90.00 90.00 90.00
Sites, in units of the cell vectors:
Co 0.0000 0.0000 0.0000
Os 0.0000 0.5000 0.5000
Os 0.5000 0.0000 0.5000
Os 0.5000 0.5000 0.0000

=====

No. 7
Compound: HfCr2Se2
Source: Alexandria
Functional: GGA-PBE
Structure: relaxed

Calculated values
**Space-group type**: I4/mmm (139)
**Magnetization**: 2.81 μB/f.u.
**Energy above the lowest structure with this stoichiometry**: 143.1 meV per atom
**ΔE_f (raw)**: -1.1 kJ/mol of atoms
**Volume**: 16.215 A^3/atom
**Crystal system**: tetragonal

a b c (Å): 3.5253 3.5253 13.0477
angles (deg): 90.00 90.00 90.00
Sites, in units of the cell vectors:
Hf 0.0000 0.0000 0.0000
Hf 0.5000 0.5000 0.5000
Cr 0.0000 0.5000 0.2500
Cr 0.0000 0.5000 0.7500
Cr 0.5000 0.0000 0.2500
Cr 0.5000 0.0000 0.7500
Se 0.0000 0.0000 0.3858
Se 0.0000 0.0000 0.6142
Se 0.5000 0.5000 0.1142
Se 0.5000 0.5000 0.8858

=====

No. 8
Compound: LaCrFe2S
Source: Alexandria
Functional: GGA-PBE
Structure: relaxed

Calculated values
**Space-group type**: P4/mmm (123)
**Magnetization**: 0.54 μB/f.u.
**ΔE_f (raw)**: 190.2 kJ/mol of atoms
**Volume**: 21.436 A^3/atom
**Crystal system**: tetragonal

a b c (Å): 4.4452 4.4452 5.4240
angles (deg): 90.00 90.00 90.00
Sites, in units of the cell vectors:
La 0.0000 0.0000 0.0000
Cr 0.5000 0.5000 0.5000
Fe 0.0000 0.5000 0.0000
Fe 0.5000 0.0000 0.0000
S 0.0000 0.0000 0.5000

=====

No. 9
Compound: Y3Ho4Tl
Source: Alexandria
Functional: GGA-PBE
Structure: relaxed

Calculated values
**Space-group type**: Pmn2_1 (31)
**Formation energy from the elements**: -73 meV per atom
**Magnetization**: 0.00 μB/f.u.
**Volume**: 30.303 A^3/atom
**Crystal system**: orthorhombic

a b c (Å): 11.1841 7.0185 6.1766
angles (deg): 90.00 90.00 90.00
Sites, in units of the cell vectors:
Y 0.0000 0.1309 0.0000
Y 0.2405 0.1178 0.3403
Y 0.2595 0.8822 0.8403
Y 0.5000 0.8691 0.5000
Y 0.7405 0.8822 0.8403
Y 0.7595 0.1178 0.3403
Ho 0.0000 0.3779 0.5347
Ho 0.0000 0.6294 0.0055
Ho 0.2383 0.6255 0.3570
Ho 0.2617 0.3745 0.8570
Ho 0.5000 0.3706 0.5055
Ho 0.5000 0.6221 0.0347
Ho 0.7383 0.3745 0.8570
Ho 0.7617 0.6255 0.3570
Tl 0.0000 0.8768 0.5193
Tl 0.5000 0.1232 0.0193

=====

No. 10
Compound: TmPaSn2
Source: Alexandria
Functional: GGA-PBE
Structure: relaxed

Calculated values
**Space-group type**: P4/mmm (123)
**Formation energy from the elements**: -359 meV per atom
**Magnetization**: 0.35 μB/f.u.
**Energy above the lowest structure with this stoichiometry**: 0.6 meV per atom
**Volume**: 25.673 A^3/atom
**Crystal system**: tetragonal

a b c (Å): 4.8492 4.8492 4.3672
angles (deg): 90.00 90.00 90.00
Sites, in units of the cell vectors:
Tm 0.0000 0.0000 0.0000
Pa 0.5000 0.5000 0.0000
Sn 0.0000 0.5000 0.5000
Sn 0.5000 0.0000 0.5000

=====

No. 11
Compound: PmPrTm6
Source: Alexandria
Functional: GGA-PBE
Structure: relaxed

Calculated values
**Space-group type**: P-6m2 (187)
**Formation energy from the elements**: 9 meV per atom
**Magnetization**: 0.00 μB/f.u.
**Energy above the lowest structure with this stoichiometry**: 0.0 meV per atom
**Volume**: 31.600 A^3/atom
**Crystal system**: hexagonal

a b c (Å): 7.1879 7.1879 5.6495
angles (deg): 90.00 90.00 120.00
Sites, in units of the cell vectors:
Pm 0.0000 0.0000 0.0000
Pr 0.3333 0.6667 0.5000
Tm 0.3364 0.1682 0.5000
Tm 0.5016 0.0032 0.0000
Tm 0.5016 0.4984 0.0000
Tm 0.8318 0.1682 0.5000
Tm 0.8318 0.6636 0.5000
Tm 0.9968 0.4984 0.0000